1.
Compound: ReB
Source: Alexandria via LeMat-Bulk
Functional: PBE
Structure: optimized geometry

Cell: 2.9195 3.4028 4.3693 Å, 90.00 90.00 90.00°
Space group Immm (No. 71)
Unique sites:
Re 0.0000 0.0000 0.0000 x2
B 0.0000 0.0000 0.5000 x2

Summary:
**DFT formation energy**: 0.1991 eV/atom
**Uncorrected energy**: -9.36 eV per atom



2.
Compound: AcNd2DyHo4
Source: Alexandria via LeMat-Bulk
Functional: PBE
Structure: optimized geometry

Cell: 13.8124 13.4403 6.9134 Å, 90.00 120.02 90.00°
Space group C2/c (No. 15)
Unique sites:
Ac 0.2500 0.2500 0.0000 x4
Nd 0.0000 0.0000 0.0000 x4
Nd 0.2500 0.2500 0.5000 x4
Dy 0.0000 0.5000 0.0000 x4
Ho 0.0000 0.2548 0.0125 x8
Ho 0.2452 0.4918 0.4939 x8

Summary:
**DFT formation energy**: 0.4295 eV/atom
**Uncorrected energy**: -4.14 eV per atom



3.
Compound: Mo2PtRh2
Source: Alexandria via LeMat-Bulk
Functional: PBE
Structure: optimized geometry

Cell: 9.3252 4.8295 7.1550 Å, 90.00 111.45 90.00°
Space group C2/c (No. 15)
Unique sites:
Mo 0.1057 0.1603 0.4636 x8
Pt 0.0000 0.3335 0.7500 x4
Rh 0.1956 0.3272 0.1493 x8

Summary:
**DFT formation energy**: -0.2175 eV/atom
**Uncorrected energy**: -8.70 eV per atom
**Offset from the most stable computed form**: 0 meV per atom



4.
Compound: ZnP2Os
Source: Alexandria via LeMat-Bulk
Functional: PBE
Structure: optimized geometry

Cell: 5.3587 5.3587 10.9036 Å, 90.00 90.00 90.00°
Space group I-42d (No. 122)
Unique sites:
Zn 0.0000 0.0000 0.0000 x4
P 0.2236 0.2500 0.6250 x8
Os 0.0000 0.0000 0.5000 x4

Summary:
**DFT formation energy**: 0.0052 eV/atom
**Uncorrected energy**: -5.83 eV per atom



5.
Compound: LaMg2Mo
Source: Alexandria via LeMat-Bulk
Functional: PBE
Structure: optimized geometry

Cell: 4.1756 4.1977 10.0517 Å, 90.00 90.00 90.00°
Space group Cmmm (No. 65)
Unique sites:
La 0.0000 0.0000 0.0000 x2
Mg 0.0000 0.5000 0.2914 x4
Mo 0.0000 0.0000 0.5000 x2

Summary:
**DFT formation energy**: 0.3110 eV/atom
**Uncorrected energy**: -4.43 eV per atom
**Offset from the most stable computed form**: 13 meV per atom



6.
Compound: Cs2LiSb2
Source: Alexandria via LeMat-Bulk
Functional: PBE
Structure: optimized geometry

Cell: 7.9688 7.9688 6.2913 Å, 90.00 90.00 90.00°
Space group P4/mbm (No. 127)
Unique sites:
Cs 0.1707 0.3293 0.0000 x4
Li 0.0000 0.0000 0.5000 x2
Sb 0.1274 0.6274 0.5000 x4

Summary:
**Uncorrected energy**: -2.69 eV per atom
**Raw formation energy**: -0.31 eV per atom
**Offset from the most stable computed form**: 37 meV per atom